First-principles (GGA-PBE) data for a relaxed HoPu2Th3Se6 crystal, as listed in Alexandria via LeMat-Bulk.

Crystal system: monoclinic
E_form (uncorrected): -152.3 kJ per mole of atoms
Fermi-level density of states: 34.9 states/eV/cell

abc: 7.0789 12.2593 7.3918
angles: 90.00 108.62 90.00
Space group C2/m (No. 12)
Unique sites:
Ho  0.0000  0.0000  0.0000 x2
Pu  0.0000  0.3334  0.0000 x4
Th  0.0000  0.1676  0.5000 x4
Th  0.0000  0.5000  0.5000 x2
Se  0.2440  0.1650  0.2371 x8
Se  0.2504  0.0000  0.7619 x4